A geometry-optimized Cs2LiGaBr6 structure. Source: Alexandria via LeMat-Bulk, functional PBE.

Values from the calculation:
The calculation puts the raw formation energy at -1.362 eV/atom. Its crystal system is trigonal.

Lattice parameters (Å, degrees): 6.585 7.753 7.753 120.00 90.00 90.00
Fractional coordinates of all 10 atoms:
Br  0.769  0.689  0.844
Li  0.500  0.000  0.000
Br  0.231  0.844  0.689
Cs  0.233  0.333  0.667
Cs  0.767  0.667  0.333
Br  0.231  0.311  0.156
Br  0.231  0.844  0.156
Br  0.769  0.156  0.844
Br  0.769  0.156  0.311
Ga  0.000  0.000  0.000

***

A geometry-optimized ScSi3H12 structure. Source: Alexandria via LeMat-Bulk, functional PBE.

Values from the calculation:
Its crystal system is trigonal.

Lattice parameters (Å, degrees): 6.738 6.738 8.558 66.82 66.82 60.00
Fractional coordinates of all 32 atoms:
H  0.459  0.876  0.824
Si  0.917  0.683  0.004
H  0.132  0.093  0.995
H  0.107  0.443  0.987
H  0.593  0.632  0.495
H  0.780  0.132  0.995
H  0.720  0.280  0.199
H  0.842  0.459  0.824
H  0.342  0.376  0.324
H  0.280  0.801  0.199
H  0.607  0.963  0.487
Si  0.396  0.917  0.004
Si  0.896  0.183  0.504
H  0.443  0.463  0.987
H  0.959  0.342  0.324
H  0.301  0.780  0.699
H  0.780  0.220  0.699
H  0.220  0.301  0.699
Si  0.417  0.896  0.504
Sc  0.071  0.071  0.787
H  0.943  0.607  0.487
H  0.963  0.943  0.487
Si  0.683  0.396  0.004
H  0.093  0.780  0.995
H  0.876  0.842  0.824
Sc  0.571  0.571  0.287
H  0.280  0.593  0.495
H  0.801  0.720  0.199
H  0.376  0.959  0.324
H  0.463  0.107  0.987
Si  0.183  0.417  0.504
H  0.632  0.280  0.495

***

A geometry-optimized UAlReTc structure. Source: Alexandria via LeMat-Bulk, functional PBE.

Values from the calculation:
For the energy of formation, the calculation gives -0.075 eV/atom. Its crystal system is cubic.

Lattice parameters (Å, degrees): 4.585 4.585 4.585 60.00 60.00 60.00
Fractional coordinates of all 4 atoms:
Re  0.500  0.500  0.500
Tc  0.000  0.000  0.000
Al  0.750  0.750  0.750
U  0.250  0.250  0.250

***

Calculated total energy readings, ordered: -3.03 -3.84 -9.54 eV/atom